(1)
Computed, not measured: a geometry-optimized LiGdHoGa structure at the GGA-PBE level of DFT.

Calculated values
- size of the total moment (μB/cell) = 7.52
- V (Å³ per atom) = 23.61
- N(E_F) (states/eV/f.u.) = 2.76
- formation energy (eV/atom) = -0.315
- crystal system = cubic

The structure in POSCAR format:
```
LiGdHoGa
1.0
0.000 3.614 3.614
3.614 0.000 3.614
3.614 3.614 0.000
Li Gd Ho Ga
1 1 1 1
direct
0.000 0.000 0.000
0.750 0.750 0.750
0.250 0.250 0.250
0.500 0.500 0.500
```

---

(2)
Computed, not measured: a geometry-optimized GdHoLuGa structure at the GGA-PBE level of DFT.

Calculated values
- size of the total moment (μB/cell) = 8.03
- V (Å³ per atom) = 26.09
- N(E_F) (states/eV/f.u.) = 5.53
- formation energy (eV/atom) = -0.119
- crystal system = cubic

The structure in POSCAR format:
```
GdHoLuGa
1.0
0.000 3.737 3.737
3.737 0.000 3.737
3.737 3.737 0.000
Gd Ho Lu Ga
1 1 1 1
direct
0.000 0.000 0.000
0.500 0.500 0.500
0.750 0.750 0.750
0.250 0.250 0.250
```

---

(3)
Computed, not measured: a geometry-optimized GdHoMgGa structure at the GGA-PBE level of DFT.

Calculated values
- size of the total moment (μB/cell) = 7.30
- V (Å³ per atom) = 24.60
- N(E_F) (states/eV/f.u.) = 3.00
- formation energy (eV/atom) = -0.337
- crystal system = cubic

The structure in POSCAR format:
```
GdHoMgGa
1.0
0.000 3.664 3.664
3.664 0.000 3.664
3.664 3.664 0.000
Gd Ho Mg Ga
1 1 1 1
direct
0.000 0.000 0.000
0.500 0.500 0.500
0.250 0.250 0.250
0.750 0.750 0.750
```

---

(4)
Computed, not measured: a geometry-optimized GdHoMnGa structure at the GGA-PBE level of DFT.

Calculated values
- size of the total moment (μB/cell) = 10.37
- V (Å³ per atom) = 22.79
- N(E_F) (states/eV/f.u.) = 4.94
- formation energy (eV/atom) = -0.141
- crystal system = cubic

The structure in POSCAR format:
```
GdHoMnGa
1.0
0.000 3.572 3.572
3.572 0.000 3.572
3.572 3.572 0.000
Gd Ho Mn Ga
1 1 1 1
direct
0.000 0.000 0.000
0.500 0.500 0.500
0.750 0.750 0.750
0.250 0.250 0.250
```

---

(5)
Computed, not measured: a geometry-optimized GdHoGaPd structure at the GGA-PBE level of DFT.

Calculated values
- size of the total moment (μB/cell) = 7.17
- V (Å³ per atom) = 22.60
- N(E_F) (states/eV/f.u.) = 3.08
- formation energy (eV/atom) = -0.695
- crystal system = cubic

The structure in POSCAR format:
```
GdHoGaPd
1.0
0.000 3.562 3.562
3.562 0.000 3.562
3.562 3.562 0.000
Gd Ho Ga Pd
1 1 1 1
direct
0.000 0.000 0.000
0.500 0.500 0.500
0.250 0.250 0.250
0.750 0.750 0.750
```

---

(6)
Computed, not measured: a geometry-optimized GdHoGaPt structure at the GGA-PBE level of DFT.

Calculated values
- size of the total moment (μB/cell) = 7.08
- V (Å³ per atom) = 22.38
- N(E_F) (states/eV/f.u.) = 3.08
- formation energy (eV/atom) = -0.854
- crystal system = cubic

The structure in POSCAR format:
```
GdHoGaPt
1.0
0.000 3.551 3.551
3.551 0.000 3.551
3.551 3.551 0.000
Gd Ho Ga Pt
1 1 1 1
direct
0.000 0.000 0.000
0.500 0.500 0.500
0.750 0.750 0.750
0.250 0.250 0.250
```

---

(7)
Computed, not measured: a geometry-optimized GdHoPuGa structure at the GGA-PBE level of DFT.

Calculated values
- size of the total moment (μB/cell) = 1.06
- V (Å³ per atom) = 25.55
- N(E_F) (states/eV/f.u.) = 13.84
- formation energy (eV/atom) = -0.035
- crystal system = cubic

The structure in POSCAR format:
```
GdHoPuGa
1.0
0.000 3.711 3.711
3.711 0.000 3.711
3.711 3.711 0.000
Gd Ho Pu Ga
1 1 1 1
direct
0.000 0.000 0.000
0.500 0.500 0.500
0.250 0.250 0.250
0.750 0.750 0.750
```

---

(8)
Computed, not measured: a geometry-optimized GdHoGaRh structure at the GGA-PBE level of DFT.

Calculated values
- size of the total moment (μB/cell) = 7.06
- V (Å³ per atom) = 21.80
- N(E_F) (states/eV/f.u.) = 2.69
- formation energy (eV/atom) = -0.666
- crystal system = cubic

The structure in POSCAR format:
```
GdHoGaRh
1.0
0.000 3.519 3.519
3.519 0.000 3.519
3.519 3.519 0.000
Gd Ho Ga Rh
1 1 1 1
direct
0.000 0.000 0.000
0.500 0.500 0.500
0.750 0.750 0.750
0.250 0.250 0.250
```

---

(9)
Computed, not measured: a geometry-optimized GdHoGaRu structure at the GGA-PBE level of DFT.

Calculated values
- size of the total moment (μB/cell) = 7.06
- V (Å³ per atom) = 21.36
- N(E_F) (states/eV/f.u.) = 2.23
- formation energy (eV/atom) = -0.440
- crystal system = cubic

The structure in POSCAR format:
```
GdHoGaRu
1.0
0.000 3.496 3.496
3.496 0.000 3.496
3.496 3.496 0.000
Gd Ho Ga Ru
1 1 1 1
direct
0.000 0.000 0.000
0.500 0.500 0.500
0.750 0.750 0.750
0.250 0.250 0.250
```

---

(10)
Computed, not measured: a geometry-optimized SmGdHoGa structure at the GGA-PBE level of DFT.

Calculated values
- size of the total moment (μB/cell) = 8.29
- V (Å³ per atom) = 27.25
- N(E_F) (states/eV/f.u.) = 5.32
- formation energy (eV/atom) = -0.107
- crystal system = cubic

The structure in POSCAR format:
```
SmGdHoGa
1.0
0.000 3.792 3.792
3.792 0.000 3.792
3.792 3.792 0.000
Sm Gd Ho Ga
1 1 1 1
direct
0.000 0.000 0.000
0.500 0.500 0.500
0.250 0.250 0.250
0.750 0.750 0.750
```

---

(11)
Computed, not measured: a geometry-optimized GdHoGaSn structure at the GGA-PBE level of DFT.

Calculated values
- size of the total moment (μB/cell) = 7.06
- V (Å³ per atom) = 25.28
- N(E_F) (states/eV/f.u.) = 2.50
- formation energy (eV/atom) = -0.558
- crystal system = cubic

The structure in POSCAR format:
```
GdHoGaSn
1.0
0.000 3.698 3.698
3.698 0.000 3.698
3.698 3.698 0.000
Gd Ho Ga Sn
1 1 1 1
direct
0.000 0.000 0.000
0.500 0.500 0.500
0.250 0.250 0.250
0.750 0.750 0.750
```

---

(12)
Computed, not measured: a geometry-optimized TbGdHoGa structure at the GGA-PBE level of DFT.

Calculated values
- size of the total moment (μB/cell) = 8.31
- V (Å³ per atom) = 26.75
- N(E_F) (states/eV/f.u.) = 5.41
- formation energy (eV/atom) = -0.103
- crystal system = cubic

The structure in POSCAR format:
```
TbGdHoGa
1.0
0.000 3.768 3.768
3.768 0.000 3.768
3.768 3.768 0.000
Tb Gd Ho Ga
1 1 1 1
direct
0.000 0.000 0.000
0.500 0.500 0.500
0.250 0.250 0.250
0.750 0.750 0.750
```